No. 1
Material: Mg14ZnFeO16
Method: DFT, GGA+U
State: optimized geometry

Structure (POSCAR):
```
Mg14ZnFeO16
1.0
8.542 0.000 0.000
0.000 8.542 0.000
0.000 0.000 4.264
Mg Zn Fe O
14 1 1 16
direct
0.000 0.250 0.000
0.000 0.500 0.500
0.000 0.750 0.000
0.249 0.249 0.500
0.249 0.751 0.500
0.250 0.000 0.000
0.250 0.500 0.000
0.500 0.000 0.500
0.500 0.250 0.000
0.500 0.750 0.000
0.750 0.000 0.000
0.750 0.500 0.000
0.751 0.249 0.500
0.751 0.751 0.500
0.000 0.000 0.500
0.500 0.500 0.500
0.000 0.000 0.000
0.000 0.253 0.500
0.000 0.500 0.000
0.000 0.747 0.500
0.246 0.500 0.500
0.250 0.250 0.000
0.250 0.750 0.000
0.253 0.000 0.500
0.500 0.000 0.000
0.500 0.246 0.500
0.500 0.500 0.000
0.500 0.754 0.500
0.747 0.000 0.500
0.750 0.250 0.000
0.750 0.750 0.000
0.754 0.500 0.500
```

DOS at the Fermi energy	3.196	states/eV per cell
E_tot	-0.217	hartree per atom

=====

No. 2
Material: Mg6ZnFeO8
Method: DFT, GGA+U
State: optimized geometry

Structure (POSCAR):
```
Mg6ZnFeO8
1.0
4.270 0.000 0.000
0.000 4.270 0.000
0.000 0.000 8.621
Mg Zn Fe O
6 1 1 8
direct
0.000 0.000 0.000
0.000 0.000 0.500
0.000 0.500 0.248
0.000 0.500 0.752
0.500 0.000 0.248
0.500 0.000 0.752
0.500 0.500 0.000
0.500 0.500 0.500
0.000 0.000 0.251
0.000 0.000 0.749
0.000 0.500 0.000
0.000 0.500 0.500
0.500 0.000 0.000
0.500 0.000 0.500
0.500 0.500 0.247
0.500 0.500 0.753
```

DOS at the Fermi energy	3.155	states/eV per cell
E_tot	-0.214	hartree per atom

=====

Which value of E_tot does entry 1 give?
-0.217 hartree per atom